(w)
Here is a relaxed structure of IrC3F from the Alexandria database. Energies are from PBE.

Structure (extended XYZ):
```
5
Lattice="3.6468 0.0000 0.0000 0.0000 3.6468 0.0000 0.0000 0.0000 3.6468" Properties=species:S:1:pos:R:3 pbc="T T T"
Ir 0.0000 0.0000 0.0000
C 0.0000 1.8234 1.8234
C 1.8234 0.0000 1.8234
C 1.8234 1.8234 0.0000
F 1.8234 1.8234 1.8234
```

(x)
Here is a relaxed structure of IrC3F from the Alexandria database. Energies are from PBE.

Structure (extended XYZ):
```
5
Lattice="3.9520 0.0000 0.0000 0.0000 3.9520 0.0000 0.0000 0.0000 3.9520" Properties=species:S:1:pos:R:3 pbc="T T T"
Ir 0.0000 0.0000 0.0000
C 0.0000 0.0000 1.9760
C 0.0000 1.9760 0.0000
C 1.9760 0.0000 0.0000
F 1.9760 1.9760 1.9760
```

Computed stability ranking, most favorable first: (x), (w)

(w)
Here is a relaxed structure of IrCN2F from the Alexandria database. Energies are from PBE.

Structure (extended XYZ):
```
5
Lattice="3.8126 0.0000 0.0000 0.0000 3.8126 0.0000 0.0000 0.0000 4.1819" Properties=species:S:1:pos:R:3 pbc="T T T"
Ir 0.0000 0.0000 0.0000
C 1.9063 1.9063 2.0909
N 0.0000 1.9063 0.0000
N 1.9063 0.0000 0.0000
F 0.0000 0.0000 2.0909
```

(x)
Here is a relaxed structure of IrCN2F from the Alexandria database. Energies are from PBE.

Structure (extended XYZ):
```
5
Lattice="3.6469 0.0000 0.0000 0.0000 3.6469 0.0000 0.0000 0.0000 3.1623" Properties=species:S:1:pos:R:3 pbc="T T T"
Ir 0.0000 0.0000 0.0000
C 1.8235 1.8235 1.5812
N 0.0000 1.8235 1.5812
N 1.8235 0.0000 1.5812
F 1.8235 1.8235 0.0000
```

Computed stability ranking, most favorable first: (w), (x)

(w)
Here is a relaxed structure of IrCOF2 from the Alexandria database. Energies are from PBE.

Structure (extended XYZ):
```
5
Lattice="4.7076 0.0000 0.0000 0.0000 4.7076 0.0000 0.0000 0.0000 2.4576" Properties=species:S:1:pos:R:3 pbc="T T T"
Ir 0.0000 0.0000 0.0000
C 2.3538 2.3538 1.2288
O 2.3538 2.3538 0.0000
F 0.0000 2.3538 1.2288
F 2.3538 0.0000 1.2288
```

(x)
Here is a relaxed structure of IrCOF2 from the Alexandria database. Energies are from PBE.

Structure (extended XYZ):
```
5
Lattice="4.2973 0.0000 0.0000 0.0000 4.2973 0.0000 0.0000 0.0000 3.6764" Properties=species:S:1:pos:R:3 pbc="T T T"
Ir 0.0000 0.0000 0.0000
C 2.1487 2.1487 1.8382
O 0.0000 0.0000 1.8382
F 0.0000 2.1487 0.0000
F 2.1487 0.0000 0.0000
```

Computed stability ranking, most favorable first: (x), (w)

(w)
Here is a relaxed structure of KCF2 from the Alexandria database. Energies are from PBE.

Structure (extended XYZ):
```
4
Lattice="1.8991 1.0964 5.8807 -1.8991 1.0964 5.8807 0.0000 -2.1928 5.8807" Properties=species:S:1:pos:R:3 pbc="T T T"
K 0.0000 0.0000 0.0000
C 0.0000 0.0000 8.8211
F 0.0000 0.0000 2.3426
F 0.0000 0.0000 15.2996
```

(x)
Here is a relaxed structure of KCF2 from the Alexandria database. Energies are from PBE.

Structure (extended XYZ):
```
4
Lattice="1.9067 1.1008 6.3836 -1.9067 1.1008 6.3836 0.0000 -2.2017 6.3836" Properties=species:S:1:pos:R:3 pbc="T T T"
K 0.0000 0.0000 0.0000
C 0.0000 0.0000 9.5755
F 0.0000 0.0000 7.8081
F 0.0000 0.0000 11.3428
```

Computed stability ranking, most favorable first: (x), (w)

(w)
Here is a relaxed structure of KC3F from the Alexandria database. Energies are from PBE.

Structure (extended XYZ):
```
5
Lattice="5.5966 0.0000 0.0000 0.0000 5.5966 0.0000 0.0000 0.0000 5.5966" Properties=species:S:1:pos:R:3 pbc="T T T"
K 0.0000 0.0000 0.0000
C 0.0000 0.0000 2.7983
C 0.0000 2.7983 0.0000
C 2.7983 0.0000 0.0000
F 2.7983 2.7983 2.7983
```

(x)
Here is a relaxed structure of KC3F from the Alexandria database. Energies are from PBE.

Structure (extended XYZ):
```
5
Lattice="4.1793 0.0000 0.0000 0.0000 4.1793 0.0000 0.0000 0.0000 4.1793" Properties=species:S:1:pos:R:3 pbc="T T T"
K 0.0000 0.0000 0.0000
C 0.0000 2.0897 2.0897
C 2.0897 0.0000 2.0897
C 2.0897 2.0897 0.0000
F 2.0897 2.0897 2.0897
```

Computed stability ranking, most favorable first: (x), (w)

(w)
Here is a relaxed structure of KCOF2 from the Alexandria database. Energies are from PBE.

Structure (extended XYZ):
```
5
Lattice="4.3975 0.0000 0.0000 0.0000 4.3975 0.0000 0.0000 0.0000 2.9585" Properties=species:S:1:pos:R:3 pbc="T T T"
K 0.0000 0.0000 0.0000
C 2.1988 2.1988 1.4792
O 2.1988 2.1988 0.0000
F 0.0000 2.1988 1.4792
F 2.1988 0.0000 1.4792
```

(x)
Here is a relaxed structure of KCOF2 from the Alexandria database. Energies are from PBE.

Structure (extended XYZ):
```
5
Lattice="4.7715 0.0000 0.0000 0.0000 4.7715 0.0000 0.0000 0.0000 5.1992" Properties=species:S:1:pos:R:3 pbc="T T T"
K 0.0000 0.0000 0.0000
C 2.3857 2.3857 2.5996
O 0.0000 0.0000 2.5996
F 0.0000 2.3857 0.0000
F 2.3857 0.0000 0.0000
```

Computed stability ranking, most favorable first: (w), (x)